The following is a DFT calculation (GGA-PBE) of a relaxed structure of HgS6Cl2.

Cell lengths 8.827, 8.827, 8.872 Å; angles 96.27, 96.27, 107.69 degrees
Element x y z (fractional)
Hg1 0.119 0.881 0.750
Hg2 0.881 0.119 0.250
S1 0.051 0.786 0.476
S2 0.088 0.445 0.537
S3 0.214 0.949 0.024
S4 0.271 0.615 0.152
S5 0.385 0.729 0.348
S6 0.445 0.088 0.037
S7 0.555 0.912 0.963
S8 0.615 0.271 0.652
S9 0.729 0.385 0.848
S10 0.786 0.051 0.976
S11 0.912 0.555 0.463
S12 0.949 0.214 0.524
Cl1 0.224 0.361 0.147
Cl2 0.361 0.224 0.647
Cl3 0.639 0.776 0.353
Cl4 0.776 0.639 0.853

Properties
- space group = C2/c
- uncorrected energy (eV/atom) = -3.23
- formation energy (no corrections) (eV/atom) = -0.0377